1.
VASP calculation (GGA-PBE) on a relaxed structure of YSi3Pd4.

Output
total magnetic moment = 0.00 μB/f.u.
energy = -6.02 eV/atom
ρ = 7.42 g/cm3

Cell: 5.7724 3.7783 6.1652 Å, 90.00 94.84 90.00°
Fractional coordinates of all 8 atoms:
Pd 0.3547 0.5000 0.0311
Pd 0.0470 0.5000 0.3650
Pd 0.0649 0.0000 0.7334
Pd 0.5885 0.0000 0.8075
Si 0.1124 0.0000 0.1340
Si 0.3658 0.5000 0.6339
Si 0.8342 0.5000 0.9592
Y 0.6325 0.0000 0.3360

---

2.
VASP calculation (GGA-PBE) on a relaxed structure of Y6SiPd2.

Output
total magnetic moment = 0.05 μB/f.u.
energy = -6.60 eV/atom
ρ = 5.65 g/cm3

Cell: 7.8561 7.8561 4.2580 Å, 90.00 90.00 120.00°
Fractional coordinates of all 9 atoms:
Pd 0.6667 0.3333 0.0000
Pd 0.3333 0.6667 0.0000
Si 0.0000 0.0000 0.5000
Y 0.2613 0.0000 0.0000
Y 0.0000 0.2613 0.0000
Y 0.7387 0.7387 0.0000
Y 0.6022 0.0000 0.5000
Y 0.3978 0.3978 0.5000
Y 0.0000 0.6022 0.5000

---

3.
VASP calculation (GGA-PBE) on a relaxed structure of Y2SiPd6.

Output
total magnetic moment = 0.00 μB/f.u.
energy = -6.37 eV/atom
ρ = 8.81 g/cm3

Cell: 5.7081 5.7081 5.6392 Å, 90.01 90.01 60.00°
Fractional coordinates of all 9 atoms:
Pd 0.1714 0.1714 0.2996
Pd 0.6578 0.1716 0.2996
Pd 0.1716 0.6578 0.2996
Pd 0.8284 0.3422 0.7004
Pd 0.3422 0.8284 0.7004
Pd 0.8286 0.8286 0.7004
Si 0.0000 0.0000 0.0000
Y 0.6671 0.6671 0.1803
Y 0.3329 0.3329 0.8197

---

4.
VASP calculation (GGA-PBE) on a relaxed structure of YSi2Pd2.

Output
total magnetic moment = 0.00 μB/f.u.
energy = -6.48 eV/atom
ρ = 6.98 g/cm3

Cell: 5.8161 5.8161 5.8161 Å, 138.60 138.60 59.99°
Fractional coordinates of all 5 atoms:
Pd 0.7500 0.2500 0.5000
Pd 0.2500 0.7500 0.5000
Si 0.3848 0.3848 0.0000
Si 0.6152 0.6152 0.0000
Y 0.0000 0.0000 0.0000

---

> Which of these has the highest total magnetic moment?

Y6SiPd2

---

> Look up the ρ of the third one.

8.81 g/cm3

---

> Which value of energy does entry 2 give?

-6.60 eV/atom